Computed, not measured: a relaxed structure of LaPmV2O8 at the GGA+U level of DFT.

Results
- crystal system = tetragonal
- calculated total energy (eV per formula unit) = -97.080

Geometry as POSCAR:
```
LaPmV2O8
1.0
6.2034 -0.0056 0.0000
-2.7564 5.5574 0.0000
-1.7235 -2.7759 5.2732
La Pm V O
1 1 2 8
direct
0.0000 0.0000 0.0000
0.2500 0.7500 0.5000
0.7500 0.2500 0.5000
0.5000 0.5000 0.0000
0.3993 0.0770 0.3223
0.3319 0.5135 0.1816
0.3319 0.1503 0.8184
0.7547 0.0770 0.6777
0.8497 0.6681 0.1816
0.9230 0.2453 0.3223
0.9230 0.6007 0.6777
0.4865 0.6681 0.8184
```